Record 1
MnCdOs3: optimized geometry, PBE-GGA.

abc: 4.4590 4.4590 4.4590
angles: 90.00 90.00 90.00
Closest atoms and distances in Å follow each position.
Fractional coordinates of all 5 atoms:
Mn 0.0000 0.0000 0.0000  6 Os 2.23
Os 0.0000 0.5000 0.0000  2 Mn 2.23
Os 0.0000 0.0000 0.5000  2 Mn 2.23
Os 0.5000 0.0000 0.0000  2 Mn 2.23
Cd 0.5000 0.5000 0.5000  12 Os 3.15

Output
The space group is Pm-3m, No. 221. As for the total energy: -35.943 eV per formula unit. The mass density is 13.82 g cm⁻³. The value obtained for the density of states at the Fermi level is 4.8 states/eV per cell. Its relative energy among the computed polymorphs is 0.000 eV per formula unit.

Record 2
MnCd2Os: optimized geometry, PBE-GGA.

abc: 2.8258 2.8258 9.6068
angles: 90.00 90.00 114.82
Closest atoms and distances in Å follow each position.
Fractional coordinates of all 4 atoms:
Cd 0.0000 0.0000 0.9819  6 Cd 2.83-3.04, 2 Os 2.92
Cd 0.5000 0.5000 0.2730  6 Cd 2.83-3.04, 2 Mn 2.84
Mn 0.0000 0.0000 0.5225  2 Os 2.45
Os 0.5000 0.5000 0.7226  2 Mn 2.45

Output
The space group is Cmm2, No. 35. As for the total energy: -20.740 eV per formula unit. The mass density is 11.21 g cm⁻³. The value obtained for the density of states at the Fermi level is 2.6 states/eV per cell. Its relative energy among the computed polymorphs is 0.615 eV per formula unit.

Record 3
Mn2CdOs2: optimized geometry, PBE-GGA.

abc: 3.9025 3.9025 5.8983
angles: 70.68 70.68 90.00
Closest atoms and distances in Å follow each position.
Fractional coordinates of all 5 atoms:
Mn 0.7500 0.2500 0.5000  4 Os 2.38
Mn 0.2500 0.7500 0.5000  4 Os 2.38
Os 0.3813 0.3813 0.2374  4 Mn 2.38, 1 Os 2.48
Os 0.6187 0.6187 0.7626  4 Mn 2.38, 1 Os 2.48
Cd 0.0000 0.0000 0.0000  8 Os 3.02, 8 Mn 3.26

Output
The space group is I4/mmm, No. 139. As for the total energy: -39.338 eV per formula unit. The mass density is 12.61 g cm⁻³. The value obtained for the density of states at the Fermi level is 4.1 states/eV per cell. Its relative energy among the computed polymorphs is 0.883 eV per formula unit.

Record 4
MnCd2POs: optimized geometry, PBE-GGA.

abc: 4.9759 4.3571 4.9759
angles: 90.00 90.00 90.00
Closest atoms and distances in Å follow each position.
Fractional coordinates of all 5 atoms:
P 0.0000 0.0000 0.0000  2 Os 2.18
Mn 0.5000 0.5000 0.5000  8 Cd 3.31, 4 Os 3.52
Os 0.0000 0.5000 0.0000  2 P 2.18
Cd 0.0000 0.0000 0.5000  2 P 2.49
Cd 0.5000 0.0000 0.0000  2 P 2.49

Output
The space group is P4/mmm, No. 123. As for the total energy: -23.191 eV per formula unit. The mass density is 7.71 g cm⁻³. The value obtained for the density of states at the Fermi level is 2.4 states/eV per cell.

Record 5
Mn2CdOsRh: optimized geometry, PBE-GGA.

abc: 4.5231 5.1013 4.5231
angles: 90.00 90.00 90.00
Closest atoms and distances in Å follow each position.
Fractional coordinates of all 5 atoms:
Rh 0.5000 0.5000 0.5000  4 Cd 3.20, 8 Mn 3.41
Mn 0.0000 0.0000 0.5000  2 Os 2.26
Mn 0.5000 0.0000 0.0000  2 Os 2.26
Os 0.0000 0.0000 0.0000  4 Mn 2.26
Cd 0.0000 0.5000 0.0000  2 Os 2.55

Output
The space group is P4/mmm, No. 123. As for the total energy: -31.184 eV per formula unit. The mass density is 8.20 g cm⁻³. The value obtained for the density of states at the Fermi level is 5.2 states/eV per cell.

Record 6
MnCdOs2Se: optimized geometry, PBE-GGA.

abc: 4.5731 4.4914 4.5731
angles: 90.00 90.00 90.00
Closest atoms and distances in Å follow each position.
Fractional coordinates of all 5 atoms:
Mn 0.0000 0.5000 0.0000  2 Se 2.25
Os 0.0000 0.0000 0.5000  2 Se 2.29
Os 0.5000 0.0000 0.0000  2 Se 2.29
Se 0.0000 0.0000 0.0000  2 Mn 2.25, 4 Os 2.29
Cd 0.5000 0.5000 0.5000  8 Os 3.20, 4 Mn 3.23

Output
The space group is P4/mmm, No. 123. As for the total energy: -30.206 eV per formula unit. For the energy relative to the elements, uncorrected, the calculation gives 1165 meV/atom. The mass density is 11.08 g cm⁻³. The value obtained for the density of states at the Fermi level is 2.9 states/eV per cell.